[1]
Material: TbZnGaRu
Method: DFT, PBE-GGA
State: relaxed

abc: 4.2753 4.2753 5.4715
angles: 67.00 67.00 60.00
Last column: nearest neighbours and their distance in Å.
Positions (direct):
Tb1 0.8155 0.8155 0.5535  4 Ga 3.02-3.14, 4 Zn 3.05-3.09, 3 Ru 3.15
Zn1 0.0266 0.0266 0.9203  3 Ru 2.72, 3 Ga 2.81
Ga1 0.6012 0.6012 0.1963  3 Ru 2.48
Ru1 0.2826 0.2826 0.1523  3 Ga 2.48, 3 Zn 2.72

## Properties
ΔE to the lowest computed polymorph, meV/atom: 0.0
SG: No. 160
Formation energy, eV per atom: -0.33

[2]
Material: Ga4TcRu5
Method: DFT, PBE-GGA
State: relaxed

abc: 2.9830 2.9830 15.7065
angles: 90.00 90.00 90.00
Last column: nearest neighbours and their distance in Å.
Positions (direct):
Ga1 0.0000 0.0000 0.2070  8 Ru 2.60-2.64
Ga2 0.0000 0.0000 0.4015  8 Ru 2.61-2.62
Ga3 0.0000 0.0000 0.5985  8 Ru 2.61-2.62
Ga4 0.0000 0.0000 0.7930  8 Ru 2.60-2.64
Tc1 0.0000 0.0000 0.0000  8 Ru 2.69, 4 Tc 2.98
Ru1 0.5000 0.5000 0.1059  4 Ga 2.64, 4 Tc 2.69
Ru2 0.5000 0.5000 0.3034  8 Ga 2.60-2.61
Ru3 0.5000 0.5000 0.5000  8 Ga 2.62
Ru4 0.5000 0.5000 0.6966  8 Ga 2.60-2.61
Ru5 0.5000 0.5000 0.8941  4 Ga 2.64, 4 Tc 2.69

## Properties
SG: No. 123
Formation energy, eV per atom: -0.22

[3]
Material: GaTc2Ru
Method: DFT, PBE-GGA
State: relaxed

abc: 2.7535 2.7535 9.5242
angles: 81.69 81.69 60.00
Last column: nearest neighbours and their distance in Å.
Positions (direct):
Ru1 0.5000 0.5000 0.5000  6 Tc 2.68, 6 Ru 2.75
Tc1 0.0901 0.0901 0.7298  1 Ga 2.54, 3 Ru 2.68, 6 Tc 2.75
Tc2 0.9099 0.9099 0.2702  1 Ga 2.54, 3 Ru 2.68, 6 Tc 2.75
Ga1 0.0000 0.0000 0.0000  2 Tc 2.54, 6 Ga 2.75

## Properties
SG: No. 166
Formation energy, eV per atom: 0.25

Which value of formation energy does entry 1 give? -0.33 eV per atom

Look up the formation energy of the first one. -0.33 eV per atom

What is the formation energy in the first record? -0.33 eV per atom